Compound: CsTmPb2Br8
Source: the Alexandria database
Functional: PBE-GGA
Structure: relaxed

Unit cell a=7.229 b=6.991 c=9.639 alpha=82.20 beta=85.09 gamma=87.02
Atoms (fractional coordinates):
Br1 0.599 0.740 0.466
Br2 0.401 0.260 0.534
Br3 0.182 0.781 0.809
Br4 0.818 0.219 0.191
Br5 0.129 0.733 0.217
Br6 0.688 0.775 0.000
Br7 0.312 0.225 0.000
Br8 0.871 0.267 0.783
Cs1 0.000 0.000 0.500
Pb1 0.504 0.524 0.251
Pb2 0.496 0.476 0.749
Tm1 0.000 0.000 0.000

Computed properties:
Formation energy from raw total energies ... -16.12 eV per formula unit
Raw total energy ... -3.52 eV per atom

Compound: Tb3SmTm3
Source: the Alexandria database
Functional: PBE-GGA
Structure: relaxed

Unit cell a=5.639 b=9.532 c=9.532 alpha=120.00 beta=90.00 gamma=90.00
Atoms (fractional coordinates):
Sm1 0.750 0.333 0.667
Sm2 0.250 0.667 0.333
Tb1 0.750 0.190 0.951
Tb2 0.250 0.951 0.761
Tb3 0.250 0.239 0.190
Tb4 0.250 0.810 0.049
Tb5 0.750 0.049 0.239
Tb6 0.750 0.761 0.810
Tm1 0.750 0.618 0.095
Tm2 0.750 0.905 0.523
Tm3 0.250 0.095 0.477
Tm4 0.750 0.477 0.382
Tm5 0.250 0.523 0.618
Tm6 0.250 0.382 0.905

Computed properties:
ΔE to the lowest computed polymorph ... 0 meV per atom
Calculated formation energy ... 0.01 eV per atom
Raw total energy ... -4.57 eV per atom

Compound: ScTl4Sb
Source: the Alexandria database
Functional: PBE-GGA
Structure: relaxed

Unit cell a=6.276 b=6.276 c=6.276 alpha=60.00 beta=60.00 gamma=60.00
Atoms (fractional coordinates):
Tl1 0.876 0.375 0.375
Tl2 0.375 0.375 0.375
Tl3 0.375 0.375 0.876
Tl4 0.375 0.876 0.375
Sb1 0.750 0.750 0.750
Sc1 0.000 0.000 0.000

Computed properties:
Formation energy from raw total energies ... 1.39 eV per formula unit
Raw total energy ... -3.09 eV per atom

Compound: CoTcBr2
Source: the Alexandria database
Functional: PBE-GGA
Structure: relaxed

Unit cell a=5.383 b=5.383 c=5.383 alpha=145.06 beta=110.10 gamma=80.60
Atoms (fractional coordinates):
Co1 0.250 0.750 0.500
Tc1 0.750 0.250 0.500
Br1 0.483 0.483 0.000
Br2 0.017 0.017 0.000

Computed properties:
Formation energy from raw total energies ... 3.62 eV per formula unit
ΔE to the lowest computed polymorph ... 748 meV per atom
Raw total energy ... -4.30 eV per atom